Material: SbPbAu3
Method: DFT, GGA-PBE
State: optimized geometry

Cell and atoms, written as CIF:
```
data_SbPbAu3
_chemical_formula_sum 'Sb2 Pb2 Au6'
_space_group_name_H-M_alt 'P 1'
_space_group_IT_number 1
_space_group_name_Hall 'P 1'
_cell_length_a 5.8169
_cell_length_b 6.9025
_cell_length_c 6.0515
_cell_angle_alpha 90.00
_cell_angle_beta 90.00
_cell_angle_gamma 90.00
loop_
_atom_site_label
_atom_site_type_symbol
_atom_site_fract_x
_atom_site_fract_y
_atom_site_fract_z
_atom_site_occupancy
Sb1 Sb 0.0000 0.1025 0.0000 1
Sb2 Sb 0.5000 0.8975 0.5000 1
Pb1 Pb 0.0000 0.6622 0.3246 1
Pb2 Pb 0.5000 0.3378 0.8246 1
Au1 Au 0.0000 0.4257 0.7307 1
Au2 Au 0.2503 0.2312 0.3647 1
Au3 Au 0.2497 0.7688 0.8647 1
Au4 Au 0.5000 0.5743 0.2307 1
Au5 Au 0.7497 0.2312 0.3647 1
Au6 Au 0.7503 0.7688 0.8647 1
```

Uncorrected formation energy (kJ/mol of formula units): 0
Fermi-level density of states (states/eV per atom): 0.380
Crystal system: orthorhombic
Raw total energy (eV for the cell shown): -35.32
Volume (Å³ per cell): 243